{"formula": "Rb2Pm2CoO6", "functional": "GGA+U", "state": "relaxed", "cell": [[2.952, -5.045, 0.000], [2.952, 5.045, 0.000], [-1.687, 0.000, 6.655]], "species": ["Rb", "Rb", "Pm", "Pm", "Co", "O", "O", "O", "O", "O", "O"], "frac_coords": [[0.161, 0.839, 0.000], [0.839, 0.161, 0.000], [0.335, 0.665, 0.500], [0.665, 0.335, 0.500], [0.000, 0.000, 0.500], [0.044, 0.335, 0.661], [0.231, 0.231, 0.337], [0.335, 0.044, 0.661], [0.665, 0.956, 0.339], [0.769, 0.769, 0.663], [0.956, 0.665, 0.339]], "magnetic_moment_mub_per_fu": 1.1, "total_energy_ev_per_atom": -6.20}